The following is a GGA-PBEsol calculation of an optimized crystal structure of CuHg, from the Alexandria database.

POSCAR file:
```
CuHg
1.0
3.0038 0.0000 0.0000
-1.5019 2.6014 0.0000
0.0000 0.0000 8.3961
Cu Hg
2 2
Direct
0.3333 0.6667 0.2500
0.6667 0.3333 0.7500
0.0000 0.0000 0.0000
0.0000 0.0000 0.5000
```

Output
Energy ... -2.235 eV per atom
M_tot ... 0.000 μB/atom
Symmetry ... P6_3/mmc